[1]
A relaxed BC2 crystal, computed with PBE-GGA.

## Properties
The value obtained for the energy above the most stable polymorph in this dataset is 0.108 eV/atom. Its size of the total moment is 0.00 μB per atom. As for the electronic total energy: -8.03 eV/atom. The calculation puts the formation energy from the elements at 33.5 kJ/mol of atoms.

Cell: 2.468 7.784 3.971 Å, 90.00 90.00 90.00°
Sites, in units of the cell vectors:
1 B 0.000 0.000 0.000
2 B 0.000 0.328 0.003
3 B 0.000 0.672 0.003
4 B 0.500 0.500 0.498
5 C 0.000 0.163 0.741
6 C 0.000 0.500 0.782
7 C 0.000 0.837 0.741
8 C 0.500 0.000 0.291
9 C 0.500 0.164 0.512
10 C 0.500 0.324 0.289
11 C 0.500 0.676 0.289
12 C 0.500 0.836 0.512

[2]
A relaxed Zr8H crystal, computed with PBE-GGA.

## Properties
Its size of the total moment is 0.00 μB per atom. As for the electronic total energy: -8.02 eV/atom.

Cell: 6.461 6.461 5.213 Å, 90.00 90.00 120.00°
Sites, in units of the cell vectors:
1 Zr 0.169 0.339 0.246
2 Zr 0.169 0.831 0.246
3 Zr 0.333 0.667 0.745
4 Zr 0.339 0.169 0.754
5 Zr 0.661 0.831 0.246
6 Zr 0.667 0.333 0.255
7 Zr 0.831 0.169 0.754
8 Zr 0.831 0.661 0.754
9 H 0.000 0.000 0.500

[3]
A relaxed Sr3Cd9Pb2 crystal, computed with PBE-GGA.

## Properties
Its size of the total moment is 0.00 μB per atom. As for the electronic total energy: -1.74 eV/atom. The calculation puts the formation energy from the elements at -25.4 kJ/mol of atoms.

Cell: 9.437 9.437 9.437 Å, 149.57 108.39 79.76°
Sites, in units of the cell vectors:
1 Sr 0.000 0.000 0.000
2 Sr 0.301 0.301 0.000
3 Sr 0.699 0.699 0.000
4 Cd 0.032 0.662 0.371
5 Cd 0.132 0.855 0.277
6 Cd 0.291 0.662 0.629
7 Cd 0.422 0.145 0.277
8 Cd 0.500 0.000 0.500
9 Cd 0.578 0.855 0.723
10 Cd 0.709 0.338 0.371
11 Cd 0.868 0.145 0.723
12 Cd 0.968 0.338 0.629
13 Pb 0.307 0.500 0.807
14 Pb 0.693 0.500 0.193

[4]
A relaxed La4CuNi3 crystal, computed with PBE-GGA.

## Properties
Its size of the total moment is 0.00 μB per atom. As for the electronic total energy: -5.43 eV/atom. The calculation puts the formation energy from the elements at -27.7 kJ/mol of atoms.

Cell: 3.889 4.483 10.816 Å, 90.00 90.00 90.00°
Sites, in units of the cell vectors:
1 La 0.000 0.000 0.000
2 La 0.000 0.500 0.262
3 La 0.500 0.000 0.484
4 La 0.500 0.500 0.764
5 Cu 0.000 0.000 0.695
6 Ni 0.000 0.500 0.558
7 Ni 0.500 0.000 0.204
8 Ni 0.500 0.500 0.056

[5]
A relaxed MnCo2Pt crystal, computed with PBE-GGA.

## Properties
Its size of the total moment is 1.66 μB per atom. As for the electronic total energy: -7.41 eV/atom. The calculation puts the formation energy from the elements at -5.3 kJ/mol of atoms.

Cell: 4.541 4.541 4.541 Å, 131.80 131.80 70.54°
Sites, in units of the cell vectors:
1 Mn 0.000 0.000 0.000
2 Co 0.500 0.500 0.000
3 Co 0.750 0.250 0.500
4 Pt 0.250 0.750 0.500

[6]
A relaxed RbU2Se6 crystal, computed with PBE-GGA.

## Properties
Its size of the total moment is 0.11 μB per atom. As for the electronic total energy: -5.99 eV/atom.

Cell: 7.207 7.207 7.582 Å, 90.00 90.00 120.00°
Sites, in units of the cell vectors:
1 Rb 0.000 0.000 0.000
2 U 0.333 0.667 0.500
3 U 0.667 0.333 0.500
4 Se 0.000 0.379 0.701
5 Se 0.000 0.621 0.299
6 Se 0.379 0.000 0.701
7 Se 0.379 0.379 0.299
8 Se 0.621 0.000 0.299
9 Se 0.621 0.621 0.701

[7]
A relaxed SiHgBr2 crystal, computed with PBE-GGA.

## Properties
The value obtained for the energy above the most stable polymorph in this dataset is 0.317 eV/atom. Its size of the total moment is 0.00 μB per atom. As for the electronic total energy: -2.18 eV/atom.

Cell: 3.833 3.833 9.269 Å, 90.00 90.00 121.44°
Sites, in units of the cell vectors:
1 Si 0.000 0.000 0.000
2 Hg 0.500 0.500 0.209
3 Br 0.000 0.000 0.424
4 Br 0.500 0.500 0.799

[8]
A relaxed Th5NpSb6 crystal, computed with PBE-GGA.

## Properties
Its size of the total moment is 0.37 μB per atom. As for the electronic total energy: -7.03 eV/atom.

Cell: 7.772 7.772 7.798 Å, 99.58 99.58 119.97°
Sites, in units of the cell vectors:
1 Th 0.000 0.000 0.000
2 Th 0.166 0.834 0.500
3 Th 0.331 0.669 0.000
4 Th 0.669 0.331 0.000
5 Th 0.834 0.166 0.500
6 Np 0.500 0.500 0.500
7 Sb 0.089 0.418 0.253
8 Sb 0.254 0.254 0.750
9 Sb 0.418 0.089 0.253
10 Sb 0.582 0.911 0.747
11 Sb 0.746 0.746 0.250
12 Sb 0.911 0.582 0.747

[9]
A relaxed ZnAg2Br4 crystal, computed with PBE-GGA.

## Properties
The value obtained for the energy above the most stable polymorph in this dataset is 0.031 eV/atom. Its size of the total moment is 0.00 μB per atom. As for the electronic total energy: -2.50 eV/atom.

Cell: 6.755 6.755 5.558 Å, 90.00 90.00 90.00°
Sites, in units of the cell vectors:
1 Zn 0.000 0.000 0.000
2 Ag 0.000 0.500 0.000
3 Ag 0.500 0.000 0.000
4 Br 0.217 0.217 0.760
5 Br 0.217 0.783 0.240
6 Br 0.783 0.217 0.240
7 Br 0.783 0.783 0.760

[10]
A relaxed Li2SiSbH crystal, computed with PBE-GGA.

## Properties
Its size of the total moment is 0.00 μB per atom. As for the electronic total energy: -3.49 eV/atom.

Cell: 4.168 4.168 4.262 Å, 90.00 90.00 90.00°
Sites, in units of the cell vectors:
1 Li 0.000 0.500 0.000
2 Li 0.500 0.000 0.000
3 Si 0.000 0.000 0.500
4 Sb 0.500 0.500 0.500
5 H 0.000 0.000 0.000

[11]
A relaxed LiMg2Re crystal, computed with PBE-GGA.

## Properties
The value obtained for the energy above the most stable polymorph in this dataset is 0.045 eV/atom. Its size of the total moment is 0.00 μB per atom. As for the electronic total energy: -4.16 eV/atom. The calculation puts the formation energy from the elements at 21.8 kJ/mol of atoms.

Cell: 2.754 2.754 9.246 Å, 90.00 90.00 90.00°
Sites, in units of the cell vectors:
1 Li 0.000 0.000 0.000
2 Mg 0.500 0.500 0.265
3 Mg 0.500 0.500 0.735
4 Re 0.000 0.000 0.500

[12]
A relaxed SiTePt2 crystal, computed with PBE-GGA.

## Properties
The value obtained for the energy above the most stable polymorph in this dataset is 0.121 eV/atom. Its size of the total moment is 0.00 μB per atom. As for the electronic total energy: -5.43 eV/atom.

Cell: 6.710 6.710 6.710 Å, 34.01 34.01 34.01°
Sites, in units of the cell vectors:
1 Si 0.000 0.000 0.000
2 Te 0.812 0.812 0.812
3 Pt 0.302 0.302 0.302
4 Pt 0.551 0.551 0.551

[13]
A relaxed IrI2NCl crystal, computed with PBE-GGA.

## Properties
The value obtained for the energy above the most stable polymorph in this dataset is 0.000 eV/atom. Its size of the total moment is 0.00 μB per atom. As for the electronic total energy: -3.96 eV/atom.

Cell: 5.690 5.690 3.690 Å, 90.00 90.00 90.00°
Sites, in units of the cell vectors:
1 Ir 0.000 0.000 0.000
2 I 0.000 0.500 0.000
3 I 0.500 0.000 0.000
4 N 0.000 0.000 0.500
5 Cl 0.500 0.500 0.500